Record 1
A plane-wave DFT calculation with SCAN was carried out for a PBEsol-optimized structure of Li3VO4.

Calculated values
The magnetization comes out at 0.00 μB/f.u. For the formation energy without anion corrections, the calculation gives -2575 meV per atom. As for the crystal system: orthorhombic. The value obtained for the volume is 85.7 Å³/f.u. For the raw total energy, the calculation gives -8.77 eV/atom.

Unit cell a=10.8217 b=6.2944 c=5.0342 alpha=90.00 beta=90.00 gamma=90.00
With the nearest neighbours (Å) after each atom.
Sites, in units of the cell vectors:
Li (0.0790, 0.2500, 0.1947)  4 O 1.94-2.02
Li (0.1666, 0.5037, 0.8104)  4 O 1.93-2.00
Li (0.1666, 0.9963, 0.8104)  4 O 1.93-2.00
Li (0.3334, 0.0037, 0.3104)  4 O 1.93-2.00
Li (0.3334, 0.4963, 0.3104)  4 O 1.93-2.00
Li (0.4210, 0.7500, 0.6947)  4 O 1.94-2.02
Li (0.5790, 0.2500, 0.3053)  4 O 1.94-2.02
Li (0.6666, 0.5037, 0.6896)  4 O 1.93-2.00
Li (0.6666, 0.9963, 0.6896)  4 O 1.93-2.00
Li (0.8334, 0.0037, 0.1896)  4 O 1.93-2.00
Li (0.8334, 0.4963, 0.1896)  4 O 1.93-2.00
Li (0.9210, 0.7500, 0.8053)  4 O 1.94-2.02
V (0.0860, 0.7500, 0.3162)  4 O 1.71-1.72
V (0.4140, 0.2500, 0.8162)  4 O 1.71-1.72
V (0.5860, 0.7500, 0.1838)  4 O 1.71-1.72
V (0.9140, 0.2500, 0.6838)  4 O 1.71-1.72
O (0.0636, 0.2500, 0.7944)  1 V 1.71
O (0.0865, 0.7500, 0.6581)  1 V 1.72
O (0.1617, 0.5268, 0.2070)  1 V 1.72
O (0.1617, 0.9732, 0.2070)  1 V 1.72
O (0.3383, 0.0268, 0.7070)  1 V 1.72
O (0.3383, 0.4732, 0.7070)  1 V 1.72
O (0.4135, 0.2500, 0.1581)  1 V 1.72
O (0.4364, 0.7500, 0.2944)  1 V 1.71
O (0.5636, 0.2500, 0.7056)  1 V 1.71
O (0.5865, 0.7500, 0.8419)  1 V 1.72
O (0.6617, 0.5268, 0.2930)  1 V 1.72
O (0.6617, 0.9732, 0.2930)  1 V 1.72
O (0.8383, 0.0268, 0.7930)  1 V 1.72
O (0.8383, 0.4732, 0.7930)  1 V 1.72
O (0.9135, 0.2500, 0.3419)  1 V 1.72
O (0.9364, 0.7500, 0.2056)  1 V 1.71

Record 2
A plane-wave DFT calculation with SCAN was carried out for a PBEsol-optimized structure of MnAlTl2.

Calculated values
Its energy of formation from the pure elements is 4.295 kcal/mol of atoms. The magnetization comes out at 3.52 μB/f.u. As for the crystal system: orthorhombic. The value obtained for the volume is 83.7 Å³/f.u. The value obtained for the energy above the most stable polymorph in this dataset is 9.8 meV per atom. For the raw total energy, the calculation gives -42.49 eV/atom.

Unit cell a=3.0032 b=4.7235 c=11.8040 alpha=90.00 beta=90.00 gamma=90.00
With the nearest neighbours (Å) after each atom.
Sites, in units of the cell vectors:
Mn (0.0000, 0.0000, 0.0000)  2 Al 2.58, 4 Tl 2.80
Mn (0.5000, 0.5000, 0.5000)  2 Al 2.58, 4 Tl 2.80
Al (0.0000, 0.5000, 0.3226)  2 Mn 2.58
Al (0.5000, 0.0000, 0.8226)  2 Mn 2.58
Tl (0.0000, 0.0000, 0.5131)  4 Mn 2.80, 2 Tl 3.00
Tl (0.0000, 0.5000, 0.7192)  2 Mn 2.99, 2 Tl 3.00, 4 Al 3.05
Tl (0.5000, 0.0000, 0.2192)  2 Mn 2.99, 2 Tl 3.00, 4 Al 3.05
Tl (0.5000, 0.5000, 0.0131)  4 Mn 2.80, 2 Tl 3.00

Record 3
A plane-wave DFT calculation with SCAN was carried out for a PBEsol-optimized structure of ZrCr2Cd.

Calculated values
Its energy of formation from the pure elements is 10.333 kcal/mol of atoms. The magnetization comes out at 6.94 μB/f.u. As for the crystal system: orthorhombic. The value obtained for the volume is 63.1 Å³/f.u. For the raw total energy, the calculation gives -24.02 eV/atom.

Unit cell a=3.3828 b=4.4368 c=8.4144 alpha=90.00 beta=90.00 gamma=90.00
With the nearest neighbours (Å) after each atom.
Sites, in units of the cell vectors:
Zr (0.0000, 0.0000, 0.0000)  4 Cr 2.65, 4 Cd 2.79
Zr (0.5000, 0.5000, 0.5000)  4 Cr 2.65, 4 Cd 2.79
Cr (0.0000, 0.5000, 0.2570)  2 Zr 2.65, 2 Cd 2.75, 4 Cr 2.79
Cr (0.0000, 0.5000, 0.7430)  2 Zr 2.65, 2 Cd 2.75, 4 Cr 2.79
Cr (0.5000, 0.0000, 0.2430)  2 Zr 2.65, 2 Cd 2.75, 4 Cr 2.79
Cr (0.5000, 0.0000, 0.7570)  2 Zr 2.65, 2 Cd 2.75, 4 Cr 2.79
Cd (0.0000, 0.0000, 0.5000)  8 Cr 2.75-3.02, 4 Zr 2.79
Cd (0.5000, 0.5000, 0.0000)  8 Cr 2.75-3.02, 4 Zr 2.79

> What is the raw total energy in the third record?

-24.02 eV/atom

> Which of these has the highest magnetization?

ZrCr2Cd